[1]
Compound: GdAgSnPd
Source: Alexandria
Functional: GGA-PBE
Structure: optimized geometry

Computed properties:
Total magnetization = 7.2 Bohr magnetons per cell
Density = 9.7 Mg/m³
ΔH_f (0 K) = -0.6063 eV per atom

a b c (Å): 4.907 4.907 4.907
angles (deg): 60.00 60.00 60.00
Fractional coordinates of all 4 atoms:
Pd1 0.000 0.000 0.000
Gd1 0.750 0.750 0.750
Sn1 0.250 0.250 0.250
Ag1 0.500 0.500 0.500


[2]
Compound: GePS3
Source: Alexandria
Functional: GGA-PBE
Structure: optimized geometry

Computed properties:
Total magnetization = 0.0 Bohr magnetons per cell
Density = 3.3 Mg/m³
E_form (uncorrected) = 4.35 eV/f.u.
Polymorph energy (0 for the lowest one) = 934 meV per atom

a b c (Å): 4.641 4.641 4.641
angles (deg): 90.00 90.00 90.00
Fractional coordinates of all 5 atoms:
P1 0.500 0.500 0.500
Ge1 0.000 0.000 0.000
S1 0.000 0.500 0.000
S2 0.000 0.000 0.500
S3 0.500 0.000 0.000


[3]
Compound: NdYMo
Source: Alexandria
Functional: GGA-PBE
Structure: optimized geometry

Computed properties:
Total magnetization = 0.0 Bohr magnetons per cell
Density = 6.4 Mg/m³
ΔH_f (0 K) = 0.7225 eV per atom

a b c (Å): 5.676 4.658 8.609
angles (deg): 78.42 70.75 52.47
Fractional coordinates of all 6 atoms:
Nd1 0.750 0.500 0.500
Nd2 0.250 0.500 0.500
Mo1 0.846 0.308 0.000
Mo2 0.154 0.692 0.000
Y1 0.592 0.000 0.817
Y2 0.408 0.000 0.183


[4]
Compound: La6Tl5Sn
Source: Alexandria
Functional: GGA-PBE
Structure: optimized geometry

Computed properties:
Total magnetization = 0.0 Bohr magnetons per cell
Density = 8.7 Mg/m³
ΔH_f (0 K) = -0.4837 eV per atom

a b c (Å): 9.705 5.622 8.929
angles (deg): 71.65 79.50 54.62
Fractional coordinates of all 12 atoms:
La1 0.749 0.087 0.328
La2 0.251 0.585 0.328
La3 0.244 0.255 0.000
La4 0.756 0.745 0.000
La5 0.749 0.415 0.672
La6 0.251 0.913 0.672
Tl1 0.500 0.167 0.666
Tl2 0.000 0.327 0.346
Tl3 0.500 0.500 0.000
Tl4 0.000 0.673 0.654
Tl5 0.500 0.833 0.334
Sn1 0.000 0.000 0.000


[5]
Compound: Cu3AsOs
Source: Alexandria
Functional: GGA-PBE
Structure: optimized geometry

Computed properties:
Total magnetization = 2.3 Bohr magnetons per cell
Density = 9.0 Mg/m³
ΔH_f (0 K) = 1.2342 eV per atom
Polymorph energy (0 for the lowest one) = 0 meV per atom

a b c (Å): 4.380 4.380 4.380
angles (deg): 90.00 90.00 90.00
Fractional coordinates of all 5 atoms:
As1 0.000 0.000 0.000
Os1 0.500 0.500 0.500
Cu1 0.000 0.500 0.000
Cu2 0.000 0.000 0.500
Cu3 0.500 0.000 0.000


[6]
Compound: Cs2AuI4
Source: Alexandria
Functional: GGA-PBE
Structure: optimized geometry

Computed properties:
Total magnetization = 0.0 Bohr magnetons per cell
Density = 4.9 Mg/m³
E_form (uncorrected) = -6.20 eV/f.u.

a b c (Å): 5.832 5.832 10.488
angles (deg): 73.86 73.86 90.00
Fractional coordinates of all 7 atoms:
Cs1 0.360 0.360 0.281
Cs2 0.640 0.640 0.719
I1 0.155 0.155 0.691
I2 0.845 0.845 0.309
I3 0.000 0.500 0.000
I4 0.500 0.000 0.000
Au1 0.000 0.000 0.000


[7]
Compound: V6Tc5Mo
Source: Alexandria
Functional: GGA-PBE
Structure: optimized geometry

Computed properties:
Total magnetization = 0.0 Bohr magnetons per cell
Density = 8.8 Mg/m³
ΔH_f (0 K) = -0.3381 eV per atom

a b c (Å): 4.280 6.075 7.439
angles (deg): 114.10 106.72 90.00
Fractional coordinates of all 12 atoms:
Mo1 0.000 0.000 0.000
Tc1 0.668 0.168 0.336
Tc2 0.333 0.333 0.667
Tc3 0.000 0.500 0.000
Tc4 0.667 0.667 0.333
Tc5 0.332 0.832 0.664
V1 0.833 0.583 0.666
V2 0.833 0.083 0.666
V3 0.500 0.749 0.000
V4 0.500 0.251 0.000
V5 0.167 0.917 0.334
V6 0.167 0.417 0.334


[8]
Compound: LiHg2Os
Source: Alexandria
Functional: GGA-PBE
Structure: optimized geometry

Computed properties:
Total magnetization = 0.0 Bohr magnetons per cell
Density = 14.1 Mg/m³
ΔH_f (0 K) = 0.4294 eV per atom
Polymorph energy (0 for the lowest one) = 126 meV per atom

a b c (Å): 4.173 2.805 6.631
angles (deg): 65.07 90.00 90.00
Fractional coordinates of all 4 atoms:
Hg1 0.000 0.998 0.003
Hg2 0.000 0.502 0.497
Li1 0.500 0.250 0.250
Os1 0.500 0.750 0.750


[9]
Compound: Tb3Si2Ir3
Source: Alexandria
Functional: GGA-PBE
Structure: optimized geometry

Computed properties:
Total magnetization = 0.0 Bohr magnetons per cell
Density = 11.8 Mg/m³
E_form (uncorrected) = -8.17 eV/f.u.
Polymorph energy (0 for the lowest one) = 0 meV per atom

a b c (Å): 5.564 7.594 14.793
angles (deg): 90.00 90.00 90.00
Fractional coordinates of all 32 atoms:
Tb1 0.132 0.474 0.392
Tb2 0.632 0.026 0.608
Tb3 0.868 0.526 0.892
Tb4 0.368 0.974 0.108
Tb5 0.868 0.526 0.608
Tb6 0.368 0.974 0.392
Tb7 0.132 0.474 0.108
Tb8 0.632 0.026 0.892
Tb9 0.598 0.328 0.250
Tb10 0.098 0.172 0.750
Tb11 0.402 0.672 0.750
Tb12 0.902 0.828 0.250
Si1 0.876 0.124 0.397
Si2 0.376 0.376 0.603
Si3 0.124 0.876 0.897
Si4 0.624 0.624 0.103
Si5 0.124 0.876 0.603
Si6 0.624 0.624 0.397
Si7 0.876 0.124 0.103
Si8 0.376 0.376 0.897
Ir1 0.086 0.179 0.250
Ir2 0.586 0.321 0.750
Ir3 0.914 0.821 0.750
Ir4 0.414 0.679 0.250
Ir5 0.601 0.332 0.460
Ir6 0.101 0.168 0.540
Ir7 0.399 0.668 0.960
Ir8 0.899 0.832 0.040
Ir9 0.399 0.668 0.540
Ir10 0.899 0.832 0.460
Ir11 0.601 0.332 0.040
Ir12 0.101 0.168 0.960


[10]
Compound: RbCdTe2N
Source: Alexandria
Functional: GGA-PBE
Structure: optimized geometry

Computed properties:
Total magnetization = 2.0 Bohr magnetons per cell
Density = 4.8 Mg/m³
E_form (uncorrected) = 2.70 eV/f.u.
Polymorph energy (0 for the lowest one) = 0 meV per atom

a b c (Å): 6.294 6.294 4.114
angles (deg): 90.00 90.00 90.00
Fractional coordinates of all 5 atoms:
N1 0.000 0.000 0.500
Te1 0.000 0.500 0.000
Te2 0.500 0.000 0.000
Rb1 0.500 0.500 0.500
Cd1 0.000 0.000 0.000


[11]
Compound: ReAgN2O
Source: Alexandria
Functional: GGA-PBE
Structure: optimized geometry

Computed properties:
Total magnetization = 0.0 Bohr magnetons per cell
Density = 9.3 Mg/m³
E_form (uncorrected) = 0.89 eV/f.u.

a b c (Å): 3.920 3.920 3.916
angles (deg): 90.00 90.00 90.00
Fractional coordinates of all 5 atoms:
Re1 0.000 0.000 0.000
O1 0.000 0.000 0.500
Ag1 0.500 0.500 0.500
N1 0.000 0.500 0.000
N2 0.500 0.000 0.000


[12]
Compound: HgGe
Source: Alexandria
Functional: GGA-PBE
Structure: optimized geometry

Computed properties:
Total magnetization = 0.0 Bohr magnetons per cell
Density = 9.3 Mg/m³
ΔH_f (0 K) = 0.2297 eV per atom
Polymorph energy (0 for the lowest one) = 80 meV per atom

a b c (Å): 10.369 5.632 5.031
angles (deg): 90.00 90.00 90.00
Fractional coordinates of all 12 atoms:
Hg1 0.847 0.054 0.156
Hg2 0.653 0.946 0.656
Hg3 0.153 0.054 0.156
Hg4 0.347 0.946 0.656
Hg5 0.000 0.732 0.690
Hg6 0.500 0.268 0.190
Ge1 0.768 0.411 0.683
Ge2 0.732 0.589 0.183
Ge3 0.232 0.411 0.683
Ge4 0.268 0.589 0.183
Ge5 0.000 0.217 0.634
Ge6 0.500 0.783 0.134